# 1
{"formula": "Pm3NdY2Er6", "functional": "PBE", "state": "optimized geometry", "lattice_angstrom": [[6.1854, 0.0004, 0.0070], [-3.0908, 5.3578, 0.0070], [-1.0407, -1.8020, 11.5947]], "species": ["Pm", "Pm", "Pm", "Nd", "Y", "Y", "Er", "Er", "Er", "Er", "Er", "Er"], "fractional_positions": [[0.1669, 0.8331, 0.5000], [0.8331, 0.1669, 0.5000], [0.5000, 0.5000, 0.5000], [0.0000, 0.0000, 0.0000], [0.3332, 0.6668, 0.0000], [0.6668, 0.3332, 0.0000], [0.9166, 0.5835, 0.7507], [0.7501, 0.7501, 0.2493], [0.0834, 0.4165, 0.2493], [0.5835, 0.9166, 0.7507], [0.2499, 0.2499, 0.7507], [0.4165, 0.0834, 0.2493]], "magnetic_moment_mub_per_cell": 0.0, "crystal_system": "monoclinic", "space_group": "No. 12"}

=====

# 2
{"formula": "PmNd2Y4Er2", "functional": "PBE", "state": "optimized geometry", "lattice_angstrom": [[-2.5336, -3.5367, -5.2514], [5.0168, -7.7777, -3.8844], [-2.1677, -0.0815, 6.2959]], "species": ["Pm", "Nd", "Nd", "Y", "Y", "Y", "Y", "Er", "Er"], "fractional_positions": [[0.0000, 0.0000, 0.0000], [0.2689, 0.6546, 0.6014], [0.7311, 0.3454, 0.3986], [0.7413, 0.8835, 0.2032], [0.6154, 0.7589, 0.5060], [0.2587, 0.1165, 0.7968], [0.3846, 0.2411, 0.4940], [0.8193, 0.4474, 0.0345], [0.1807, 0.5526, 0.9655]], "magnetic_moment_mub_per_cell": 0.0, "crystal_system": "triclinic", "space_group": "No. 2"}

=====

# 3
{"formula": "PmNdY2Er", "functional": "PBE", "state": "optimized geometry", "lattice_angstrom": [[-1.7415, -6.7412, 1.8447], [1.9499, -2.6425, -7.8161], [4.4685, 0.3743, 5.5862]], "species": ["Pm", "Pm", "Nd", "Nd", "Y", "Y", "Y", "Y", "Er", "Er"], "fractional_positions": [[0.2500, 0.9972, 0.9945], [0.7500, 0.0028, 0.0055], [0.2500, 0.7302, 0.4604], [0.7500, 0.2698, 0.5396], [0.5000, 0.3125, 0.0000], [0.0000, 0.6875, 0.0000], [0.5000, 0.6875, 0.0000], [0.0000, 0.3125, 0.0000], [0.7500, 0.7236, 0.4471], [0.2500, 0.2764, 0.5529]], "magnetic_moment_mub_per_cell": 0.0, "crystal_system": "orthorhombic", "space_group": "No. 63"}

=====

# 4
{"formula": "PmNd3YEr", "functional": "PBE", "state": "optimized geometry", "lattice_angstrom": [[-4.2117, 3.8190, -1.3385], [-0.9577, -1.7961, 10.6324], [4.3123, 5.1120, 1.0165]], "species": ["Pm", "Pm", "Nd", "Nd", "Nd", "Nd", "Nd", "Nd", "Y", "Y", "Er", "Er"], "fractional_positions": [[0.3498, 0.6996, 0.9709], [0.6502, 0.3004, 0.0291], [0.8401, 0.6802, 0.2334], [0.7794, 0.5588, 0.7159], [0.4825, 0.9649, 0.2448], [0.2206, 0.4412, 0.2841], [0.5175, 0.0351, 0.7552], [0.1599, 0.3198, 0.7666], [0.0600, 0.1200, 0.2565], [0.9400, 0.8800, 0.7435], [0.6392, 0.2784, 0.4841], [0.3608, 0.7216, 0.5159]], "magnetic_moment_mub_per_cell": 0.0, "crystal_system": "monoclinic", "space_group": "No. 12"}

=====

# 5
{"formula": "Pm6Nd3Y2Er", "functional": "PBE", "state": "optimized geometry", "lattice_angstrom": [[-4.4180, 4.4439, -0.6925], [-1.2685, -5.9767, -1.5548], [-1.9041, -1.5490, 11.7647]], "species": ["Pm", "Pm", "Pm", "Pm", "Pm", "Pm", "Nd", "Nd", "Nd", "Y", "Y", "Er"], "fractional_positions": [[0.9176, 0.5853, 0.7537], [0.7501, 0.7501, 0.2464], [0.0824, 0.4147, 0.2463], [0.5853, 0.9176, 0.7537], [0.2499, 0.2499, 0.7536], [0.4147, 0.0824, 0.2463], [0.1666, 0.8334, 0.5000], [0.8334, 0.1666, 0.5000], [0.5000, 0.5000, 0.5000], [0.3334, 0.6666, 0.0000], [0.6666, 0.3334, 0.0000], [0.0000, 0.0000, 0.0000]], "magnetic_moment_mub_per_cell": 0.0, "crystal_system": "monoclinic", "space_group": "No. 12"}

=====

# 6
{"formula": "Pm2NdYEr2", "functional": "PBE", "state": "optimized geometry", "lattice_angstrom": [[-3.2631, 4.6308, 0.0938], [-7.1575, -5.1326, 4.3969], [2.6356, 1.7293, 6.3090]], "species": ["Pm", "Pm", "Pm", "Pm", "Nd", "Nd", "Y", "Y", "Er", "Er", "Er", "Er"], "fractional_positions": [[0.5000, 0.8334, 0.2523], [0.5000, 0.1666, 0.7477], [0.0000, 0.6666, 0.7523], [0.0000, 0.3334, 0.2477], [0.0000, 0.0000, 0.0000], [0.5000, 0.5000, 0.5000], [0.5000, 0.5000, 0.0000], [0.0000, 0.0000, 0.5000], [0.5000, 0.1669, 0.2499], [0.0000, 0.6669, 0.2501], [0.5000, 0.8331, 0.7501], [0.0000, 0.3331, 0.7499]], "magnetic_moment_mub_per_cell": 0.0, "crystal_system": "orthorhombic", "space_group": "No. 58"}

=====

# 7
{"formula": "Pm2Nd2Y4Er", "functional": "PBE", "state": "optimized geometry", "lattice_angstrom": [[-1.0564, -2.4670, -2.4563], [6.9071, -4.8564, 4.6010], [-8.7487, -0.3627, 4.1271]], "species": ["Pm", "Pm", "Nd", "Nd", "Y", "Y", "Y", "Y", "Er"], "fractional_positions": [[0.8523, 0.7046, 0.3359], [0.1477, 0.2954, 0.6641], [0.3351, 0.6701, 0.0002], [0.6649, 0.3299, 0.9998], [0.8152, 0.6305, 0.6656], [0.1848, 0.3695, 0.3344], [0.5192, 0.0383, 0.3319], [0.4808, 0.9617, 0.6681], [0.0000, 0.0000, 0.0000]], "magnetic_moment_mub_per_cell": 0.0, "crystal_system": "monoclinic", "space_group": "No. 12"}

=====

# 8
{"formula": "Pm3Nd6YEr2", "functional": "PBE", "state": "optimized geometry", "lattice_angstrom": [[-1.8606, -6.0249, -0.3354], [4.7913, 2.0294, -3.5776], [6.6231, -1.4938, 9.8773]], "species": ["Pm", "Pm", "Pm", "Nd", "Nd", "Nd", "Nd", "Nd", "Nd", "Y", "Er", "Er"], "fractional_positions": [[0.1668, 0.8332, 0.5000], [0.8332, 0.1668, 0.5000], [0.5000, 0.5000, 0.5000], [0.9172, 0.5827, 0.7535], [0.7484, 0.7484, 0.2465], [0.0828, 0.4173, 0.2465], [0.5827, 0.9172, 0.7535], [0.2516, 0.2516, 0.7535], [0.4173, 0.0828, 0.2465], [0.0000, 0.0000, 0.0000], [0.3334, 0.6666, 0.0000], [0.6666, 0.3334, 0.0000]], "magnetic_moment_mub_per_cell": 0.0, "crystal_system": "monoclinic", "space_group": "No. 12"}

=====

no.,E_tot (eV per cell)
1,-59.100
2,-48.570
3,-50.102
4,-58.019
5,-60.122
6,-58.971
7,-49.441
8,-58.285